(1)
Density functional theory data (PBE-GGA) for crystalline Rb2LaSnS4 at its relaxed geometry.

a = 8.710 Å, b = 8.710 Å, c = 8.727 Å
α = 120.06°, β = 120.06°, γ = 90.01°
Fractional positions:
Rb  0.500  0.000  0.000
Rb  0.500  0.000  0.500
Rb  0.000  0.000  0.500
Rb  0.500  0.500  0.000
La  0.000  0.500  0.000
La  0.000  0.500  0.500
Sn  0.500  0.500  0.500
Sn  0.000  0.000  0.000
S  0.199  0.739  0.969
S  0.761  0.301  0.531
S  0.239  0.699  0.469
S  0.801  0.261  0.031
S  0.762  0.737  0.956
S  0.763  0.738  0.544
S  0.237  0.262  0.456
S  0.238  0.263  0.044

**ΔE_f (raw)**: -1.24 eV per atom

(2)
Density functional theory data (PBE-GGA) for crystalline InGaCuTe2 at its relaxed geometry.

a = 5.769 Å, b = 5.172 Å, c = 5.769 Å
α = 90.00°, β = 90.00°, γ = 90.00°
Fractional positions:
Te  0.000  0.000  0.500
Te  0.500  0.000  0.000
Cu  0.500  0.500  0.500
Ga  0.000  0.500  0.000
In  0.000  0.000  0.000

**ΔE_f (raw)**: 0.73 eV per atom

(3)
Density functional theory data (PBE-GGA) for crystalline SiSI2O at its relaxed geometry.

a = 5.641 Å, b = 5.641 Å, c = 3.639 Å
α = 90.00°, β = 90.00°, γ = 90.00°
Fractional positions:
I  0.000  0.500  0.000
I  0.500  0.000  0.000
S  0.000  0.000  0.000
Si  0.500  0.500  0.500
O  0.000  0.000  0.500

**ΔE_f (raw)**: 0.50 eV per atom
**Energy above the most stable polymorph in this dataset**: 500.9 meV/atom

(4)
Density functional theory data (PBE-GGA) for crystalline BaLiCdAu2 at its relaxed geometry.

a = 4.419 Å, b = 4.419 Å, c = 7.218 Å
α = 107.82°, β = 107.82°, γ = 90.00°
Fractional positions:
Ba  0.000  0.000  0.000
Li  0.750  0.250  0.500
Cd  0.250  0.750  0.500
Au  0.611  0.611  0.222
Au  0.389  0.389  0.778

**Energy above the most stable polymorph in this dataset**: 0.0 meV/atom

(5)
Density functional theory data (PBE-GGA) for crystalline NiSn at its relaxed geometry.

a = 5.140 Å, b = 5.140 Å, c = 5.466 Å
α = 90.00°, β = 90.00°, γ = 90.00°
Fractional positions:
Ni  0.301  0.699  0.000
Ni  0.801  0.801  0.500
Ni  0.199  0.199  0.500
Ni  0.699  0.301  0.000
Sn  0.207  0.207  0.000
Sn  0.707  0.293  0.500
Sn  0.293  0.707  0.500
Sn  0.793  0.793  0.000

(6)
Density functional theory data (PBE-GGA) for crystalline Ag3OsSe at its relaxed geometry.

a = 5.105 Å, b = 5.105 Å, c = 5.105 Å
α = 90.00°, β = 90.00°, γ = 90.00°
Fractional positions:
Os  0.000  0.000  0.000
Se  0.500  0.500  0.500
Ag  0.000  0.500  0.000
Ag  0.000  0.000  0.500
Ag  0.500  0.000  0.000

**ΔE_f (raw)**: 1.53 eV per atom
**Energy above the most stable polymorph in this dataset**: 77.9 meV/atom

(7)
Density functional theory data (PBE-GGA) for crystalline Ca3PPt at its relaxed geometry.

a = 8.020 Å, b = 7.996 Å, c = 7.996 Å
α = 90.23°, β = 88.92°, γ = 88.92°
Fractional positions:
Ca  0.559  0.809  0.077
Ca  0.941  0.923  0.191
Ca  0.441  0.191  0.923
Ca  0.059  0.077  0.809
Ca  0.810  0.415  0.051
Ca  0.690  0.949  0.585
Ca  0.190  0.585  0.949
Ca  0.310  0.051  0.415
Ca  0.580  0.570  0.687
Ca  0.920  0.313  0.430
Ca  0.420  0.430  0.313
Ca  0.080  0.687  0.570
P  0.865  0.751  0.870
P  0.635  0.130  0.249
P  0.135  0.249  0.130
P  0.365  0.870  0.751
Pt  0.250  0.742  0.258
Pt  0.750  0.258  0.742
Pt  0.250  0.362  0.638
Pt  0.750  0.638  0.362

**Energy above the most stable polymorph in this dataset**: 0.0 meV/atom

(8)
Density functional theory data (PBE-GGA) for crystalline NaPr9Ge6O26 at its relaxed geometry.

a = 9.895 Å, b = 9.895 Å, c = 7.246 Å
α = 90.00°, β = 90.00°, γ = 120.00°
Fractional positions:
Na  0.667  0.333  0.510
Pr  0.333  0.667  0.001
Pr  0.333  0.667  0.500
Pr  0.667  0.333  0.004
Pr  0.767  0.007  0.750
Pr  0.993  0.759  0.750
Pr  0.241  0.233  0.750
Pr  0.229  0.991  0.253
Pr  0.009  0.238  0.253
Pr  0.762  0.771  0.253
Ge  0.602  0.627  0.752
Ge  0.373  0.976  0.752
Ge  0.024  0.398  0.752
Ge  0.404  0.372  0.253
Ge  0.628  0.032  0.253
Ge  0.968  0.596  0.253
O  0.698  0.520  0.756
O  0.480  0.178  0.756
O  0.822  0.302  0.756
O  0.321  0.496  0.250
O  0.504  0.826  0.250
O  0.174  0.679  0.250
O  0.000  0.000  0.746
O  0.000  0.000  0.225
O  0.651  0.752  0.558
O  0.248  0.898  0.558
O  0.102  0.349  0.558
O  0.350  0.249  0.055
O  0.751  0.100  0.055
O  0.900  0.650  0.055
O  0.308  0.234  0.431
O  0.766  0.074  0.431
O  0.926  0.692  0.431
O  0.651  0.755  0.945
O  0.245  0.896  0.945
O  0.104  0.349  0.945
O  0.394  0.525  0.750
O  0.475  0.869  0.750
O  0.131  0.606  0.750
O  0.608  0.479  0.251
O  0.521  0.130  0.251
O  0.870  0.392  0.251

**ΔE_f (raw)**: -2.67 eV per atom

(9)
Density functional theory data (PBE-GGA) for crystalline ZrTi2BeSn at its relaxed geometry.

a = 4.820 Å, b = 5.433 Å, c = 4.820 Å
α = 90.00°, β = 90.00°, γ = 90.00°
Fractional positions:
Be  0.500  0.500  0.500
Sn  0.000  0.500  0.000
Zr  0.000  0.000  0.000
Ti  0.000  0.000  0.500
Ti  0.500  0.000  0.000

(10)
Density functional theory data (PBE-GGA) for crystalline RePdAu2 at its relaxed geometry.

a = 7.353 Å, b = 7.353 Å, c = 5.867 Å
α = 51.19°, β = 51.19°, γ = 90.00°
Fractional positions:
Re  0.000  0.000  0.000
Re  0.750  0.250  0.500
Au  0.632  0.125  0.250
Au  0.118  0.625  0.250
Au  0.375  0.368  0.750
Au  0.875  0.882  0.750
Pd  0.500  0.500  0.000
Pd  0.250  0.750  0.500

**Energy above the most stable polymorph in this dataset**: 352.0 meV/atom

(11)
Density functional theory data (PBE-GGA) for crystalline AlSb2WI at its relaxed geometry.

a = 5.230 Å, b = 5.230 Å, c = 5.333 Å
α = 90.00°, β = 90.00°, γ = 90.00°
Fractional positions:
I  0.000  0.000  0.500
Sb  0.000  0.500  0.000
Sb  0.500  0.000  0.000
Al  0.000  0.000  0.000
W  0.500  0.500  0.500

**ΔE_f (raw)**: 1.44 eV per atom
**Energy above the most stable polymorph in this dataset**: 679.7 meV/atom

(12)
Density functional theory data (PBE-GGA) for crystalline Tm2Zn15Cu2 at its relaxed geometry.

a = 6.728 Å, b = 6.728 Å, c = 6.728 Å
α = 82.62°, β = 82.62°, γ = 82.62°
Fractional positions:
Tm  0.334  0.334  0.334
Tm  0.666  0.666  0.666
Zn  0.500  0.000  0.000
Zn  0.000  0.000  0.500
Zn  0.000  0.500  0.000
Zn  0.000  0.707  0.293
Zn  0.707  0.293  0.000
Zn  0.293  0.000  0.707
Zn  0.293  0.707  0.000
Zn  0.707  0.000  0.293
Zn  0.000  0.293  0.707
Zn  0.158  0.647  0.647
Zn  0.647  0.647  0.158
Zn  0.647  0.158  0.647
Zn  0.842  0.353  0.353
Zn  0.353  0.353  0.842
Zn  0.353  0.842  0.353
Cu  0.101  0.101  0.101
Cu  0.899  0.899  0.899

(13)
Density functional theory data (PBE-GGA) for crystalline HfBi2W at its relaxed geometry.

a = 4.370 Å, b = 4.370 Å, c = 10.839 Å
α = 78.37°, β = 78.37°, γ = 90.00°
Fractional positions:
Hf  0.500  0.500  0.000
Hf  0.250  0.750  0.500
Bi  0.631  0.125  0.250
Bi  0.119  0.625  0.250
Bi  0.375  0.369  0.750
Bi  0.875  0.881  0.750
W  0.000  0.000  0.000
W  0.750  0.250  0.500

**Energy above the most stable polymorph in this dataset**: 307.3 meV/atom

(14)
Density functional theory data (PBE-GGA) for crystalline CaPr2Os at its relaxed geometry.

a = 4.187 Å, b = 4.187 Å, c = 9.749 Å
α = 77.60°, β = 77.60°, γ = 60.00°
Fractional positions:
Pr  0.280  0.280  0.160
Pr  0.720  0.720  0.840
Ca  0.500  0.500  0.500
Os  0.000  0.000  0.000

**Energy above the most stable polymorph in this dataset**: 121.2 meV/atom

(15)
Density functional theory data (PBE-GGA) for crystalline TbCeSmTh at its relaxed geometry.

a = 3.562 Å, b = 3.562 Å, c = 11.674 Å
α = 89.99°, β = 98.79°, γ = 120.00°
Fractional positions:
Tb  0.474  0.135  0.624
Ce  0.305  0.551  0.871
Sm  0.967  0.381  0.363
Th  0.132  0.964  0.111

**Energy above the most stable polymorph in this dataset**: 0.0 meV/atom

(16)
Density functional theory data (PBE-GGA) for crystalline MgAl4As at its relaxed geometry.

a = 5.399 Å, b = 5.399 Å, c = 5.399 Å
α = 60.00°, β = 60.00°, γ = 60.00°
Fractional positions:
Mg  0.000  0.000  0.000
Al  0.875  0.375  0.375
Al  0.375  0.375  0.875
Al  0.375  0.875  0.375
Al  0.375  0.375  0.375
As  0.750  0.750  0.750

(17)
Density functional theory data (PBE-GGA) for crystalline PuAgGeAu at its relaxed geometry.

a = 4.895 Å, b = 4.895 Å, c = 4.895 Å
α = 60.00°, β = 60.00°, γ = 60.00°
Fractional positions:
Ge  0.500  0.500  0.500
Au  0.000  0.000  0.000
Ag  0.250  0.250  0.250
Pu  0.750  0.750  0.750

(18)
Density functional theory data (PBE-GGA) for crystalline LaPmSc at its relaxed geometry.

a = 6.426 Å, b = 3.295 Å, c = 9.725 Å
α = 99.75°, β = 109.29°, γ = 90.00°
Fractional positions:
Pm  0.668  0.168  0.335
Pm  0.332  0.832  0.665
La  0.739  0.500  0.000
La  0.261  0.500  0.000
Sc  0.153  0.653  0.306
Sc  0.847  0.347  0.694

**Energy above the most stable polymorph in this dataset**: 217.1 meV/atom

(19)
Density functional theory data (PBE-GGA) for crystalline Ce2ZnGe at its relaxed geometry.

a = 4.319 Å, b = 4.121 Å, c = 5.961 Å
α = 90.00°, β = 111.24°, γ = 90.00°
Fractional positions:
Ce  0.803  0.500  0.606
Ce  0.092  0.000  0.184
Zn  0.516  0.500  0.033
Ge  0.373  0.000  0.746

(20)
Density functional theory data (PBE-GGA) for crystalline ZnSnAs3 at its relaxed geometry.

a = 5.289 Å, b = 5.289 Å, c = 5.289 Å
α = 90.00°, β = 90.00°, γ = 90.00°
Fractional positions:
Zn  0.500  0.500  0.500
As  0.000  0.500  0.000
As  0.000  0.000  0.500
As  0.500  0.000  0.000
Sn  0.000  0.000  0.000

**Energy above the most stable polymorph in this dataset**: 456.6 meV/atom

no.,magnetization (Bohr magnetons per cell),DFT total energy (eV per atom)
1,0.00,-4.66
2,0.00,-2.50
3,0.00,-3.02
4,0.00,-2.83
5,0.00,-4.84
6,3.00,-3.13
7,0.00,-4.37
8,0.00,-7.45
9,0.00,-5.04
10,4.54,-5.15
11,3.54,-3.85
12,0.00,-2.11
13,0.00,-6.81
14,0.00,-5.59
15,0.01,-5.64
16,0.00,-3.40
17,5.43,-6.49
18,0.00,-5.05
19,2.25,-4.89
20,0.00,-2.84